Record 1
Below is an optimized crystal structure of K2Al2Tc, with properties calculated at the GGA-PBE level.

Values from the calculation:
The calculation puts the calculated volume at 29.41 Å³/atom. The symmetry is No. 127. Its polymorph energy (0 for the lowest one) is 0 meV/atom. The value obtained for the calculated formation energy is 0.5015 eV per atom. The value obtained for the theoretical density is 2.60 g/cm3.

```
data_K2Al2Tc
_space_group_name_H-M_alt 'P 1'
_space_group_IT_number 1
_cell_length_a 6.922
_cell_length_b 6.922
_cell_length_c 6.138
_cell_angle_alpha 90.00
_cell_angle_beta 90.00
_cell_angle_gamma 90.00
loop_
_space_group_symop_operation_xyz
'x,y,z'
loop_
_atom_site_label
_atom_site_fract_x
_atom_site_fract_y
_atom_site_fract_z
K1 0.333 0.167 0.500
Tc1 0.000 0.000 0.000
K2 0.667 0.833 0.500
Al1 0.284 0.784 0.000
K3 0.167 0.667 0.500
Al2 0.784 0.716 0.000
K4 0.833 0.333 0.500
Al3 0.216 0.284 0.000
Al4 0.716 0.216 0.000
Tc2 0.500 0.500 0.000
```



Record 2
Below is an optimized crystal structure of KAl4Tc, with properties calculated at the GGA-PBE level.

Values from the calculation:
The calculation puts the calculated volume at 17.99 Å³/atom. The symmetry is No. 216. The value obtained for the calculated formation energy is 0.3276 eV per atom. The value obtained for the theoretical density is 3.77 g/cm3.

```
data_KAl4Tc
_space_group_name_H-M_alt 'P 1'
_space_group_IT_number 1
_cell_length_a 5.345
_cell_length_b 5.345
_cell_length_c 5.345
_cell_angle_alpha 60.00
_cell_angle_beta 60.00
_cell_angle_gamma 60.00
loop_
_space_group_symop_operation_xyz
'x,y,z'
loop_
_atom_site_label
_atom_site_fract_x
_atom_site_fract_y
_atom_site_fract_z
Al1 0.374 0.374 0.374
Tc1 0.000 0.000 0.000
Al2 0.374 0.374 0.877
Al3 0.877 0.374 0.374
K1 0.750 0.750 0.750
Al4 0.374 0.877 0.374
```



Record 3
Below is an optimized crystal structure of K2Al2Tc, with properties calculated at the GGA-PBE level.

Values from the calculation:
The calculation puts the calculated volume at 21.85 Å³/atom. The symmetry is No. 139. Its polymorph energy (0 for the lowest one) is 506 meV/atom. The value obtained for the calculated formation energy is 1.0079 eV per atom. The value obtained for the theoretical density is 3.50 g/cm3.

```
data_K2Al2Tc
_space_group_name_H-M_alt 'P 1'
_space_group_IT_number 1
_cell_length_a 3.698
_cell_length_b 3.698
_cell_length_c 8.405
_cell_angle_alpha 77.29
_cell_angle_beta 77.29
_cell_angle_gamma 90.00
loop_
_space_group_symop_operation_xyz
'x,y,z'
loop_
_atom_site_label
_atom_site_fract_x
_atom_site_fract_y
_atom_site_fract_z
Tc1 0.000 0.000 0.000
K1 0.750 0.250 0.500
Al1 0.423 0.423 0.154
K2 0.250 0.750 0.500
Al2 0.577 0.577 0.846
```



What did the third record say?
Below is an optimized crystal structure of K2Al2Tc, with properties calculated at the GGA-PBE level.

Values from the calculation:
The calculation puts the calculated volume at 21.85 Å³/atom. The symmetry is No. 139. Its polymorph energy (0 for the lowest one) is 506 meV/atom. The value obtained for the calculated formation energy is 1.0079 eV per atom. The value obtained for the theoretical density is 3.50 g/cm3.

```
data_K2Al2Tc
_space_group_name_H-M_alt 'P 1'
_space_group_IT_number 1
_cell_length_a 3.698
_cell_length_b 3.698
_cell_length_c 8.405
_cell_angle_alpha 77.29
_cell_angle_beta 77.29
_cell_angle_gamma 90.00
loop_
_space_group_symop_operation_xyz
'x,y,z'
loop_
_atom_site_label
_atom_site_fract_x
_atom_site_fract_y
_atom_site_fract_z
Tc1 0.000 0.000 0.000
K1 0.750 0.250 0.500
Al1 0.423 0.423 0.154
K2 0.250 0.750 0.500
Al2 0.577 0.577 0.846
```